The following is a DFT calculation (PBE-GGA) of an optimized crystal structure of RuPtI3.

Output
V: 32.26 Å³/atom
SG: Pm-3m (221)
energy relative to the lowest polymorph listed for this composition: 0.00 eV/f.u.

a b c (Å): 5.4435 5.4435 5.4435
angles (deg): 90.00 90.00 90.00
Last column: nearest neighbours and their distance in Å.
Fractional coordinates of all 5 atoms:
I 0.5000 0.0000 0.0000  2 Pt 2.72
I 0.0000 0.5000 0.0000  2 Pt 2.72
I 0.0000 0.0000 0.5000  2 Pt 2.72
Ru 0.5000 0.5000 0.5000  12 I 3.85
Pt 0.0000 0.0000 0.0000  6 I 2.72